Record 1
Cs2UI4: relaxed, PBE-GGA.

```
Cs2UI4
1.0
6.169 0.000 0.000
0.000 6.169 0.000
3.085 3.085 9.724
Cs I U
2 4 1
Direct
0.637 0.637 0.725
0.363 0.363 0.275
0.836 0.836 0.329
0.164 0.164 0.671
0.000 0.500 0.000
0.500 0.000 0.000
0.000 0.000 0.000
```

Results
The energy is -26.28 eV/cell. The density comes out at 4538 kg/m3. The density of states at the Fermi level is 8.6 states/eV/cell. Its formation energy without anion corrections is -1.01 eV/atom.


Record 2
RbIn3Au: relaxed, PBE-GGA.

```
RbIn3Au
1.0
-6.340 -0.737 -0.529
0.129 -4.431 4.623
-0.898 4.566 4.401
Au Rb In
1 1 3
Direct
0.500 0.500 0.500
0.000 0.000 0.000
0.000 0.500 0.000
0.000 0.000 0.500
0.500 0.000 0.000
```

Results
The energy is -6.79 eV/cell. The formation energy is 1.134 eV/atom. The density comes out at 3962 kg/m3. The density of states at the Fermi level is 9.5 states/eV/cell.


Record 3
HfNiAs2Br: relaxed, PBE-GGA.

```
HfNiAs2Br
1.0
-2.200 -2.264 3.383
1.439 -4.030 -1.761
3.891 0.219 2.677
Ni As Hf Br
1 2 1 1
Direct
0.000 0.000 0.000
0.000 0.500 0.000
0.500 0.000 0.000
0.500 0.500 0.500
0.000 0.000 0.500
```

Results
The energy is -25.11 eV/cell. The density comes out at 7659 kg/m3. The density of states at the Fermi level is 2.8 states/eV/cell. Its formation energy without anion corrections is 0.32 eV/atom.


Record 4
Rb2RuPbI6: relaxed, PBE-GGA.

```
Rb2RuPbI6
1.0
8.362 0.000 0.000
0.000 8.362 0.000
4.181 4.181 5.910
Pb I Rb Ru
1 6 2 1
Direct
0.000 0.000 0.000
0.269 0.269 0.463
0.731 0.731 0.537
0.269 0.269 0.000
0.731 0.731 0.000
0.731 0.269 0.000
0.269 0.731 0.000
0.750 0.250 0.500
0.250 0.750 0.500
0.500 0.500 0.000
```

Results
The energy is -30.73 eV/cell. The density comes out at 4986 kg/m3. The density of states at the Fermi level is 0.0 states/eV/cell. Its formation energy without anion corrections is -0.65 eV/atom.


Record 5
V12CrSn3: relaxed, PBE-GGA.

```
V12CrSn3
1.0
4.898 0.000 0.000
0.000 4.912 0.000
0.000 0.000 9.791
V Cr Sn
12 1 3
Direct
0.500 0.000 0.386
0.500 0.000 0.871
0.746 0.500 0.000
0.763 0.500 0.500
0.000 0.762 0.266
0.000 0.762 0.734
0.500 0.000 0.129
0.500 0.000 0.614
0.254 0.500 0.000
0.237 0.500 0.500
0.000 0.238 0.266
0.000 0.238 0.734
0.000 0.000 0.500
0.500 0.500 0.252
0.500 0.500 0.748
0.000 0.000 0.000
```

Results
The energy is -131.95 eV/cell. The formation energy is -0.056 eV/atom. The density comes out at 7186 kg/m3. The density of states at the Fermi level is 19.5 states/eV/cell.


Record 6
CrTc2TeAs: relaxed, PBE-GGA.

```
CrTc2TeAs
1.0
-3.733 2.144 -1.810
-2.283 -0.694 3.888
1.552 4.088 1.640
Cr As Te Tc
1 1 1 2
Direct
0.000 0.500 0.000
0.000 0.000 0.000
0.500 0.500 0.500
0.000 0.000 0.500
0.500 0.000 0.000
```

Results
The energy is -33.63 eV/cell. The density comes out at 7521 kg/m3. The density of states at the Fermi level is 7.0 states/eV/cell. Its formation energy without anion corrections is 0.90 eV/atom.


Record 7
YGaOs2C: relaxed, PBE-GGA.

```
YGaOs2C
1.0
4.000 0.000 0.000
-2.000 5.504 0.000
0.000 0.000 7.324
Y Ga Os C
2 2 4 2
Direct
0.453 0.906 0.750
0.547 0.094 0.250
0.733 0.466 0.750
0.267 0.534 0.250
0.166 0.332 0.938
0.834 0.668 0.062
0.166 0.332 0.562
0.834 0.668 0.438
0.000 0.000 0.000
0.000 0.000 0.500
```

Results
The energy is -84.93 eV/cell. The formation energy is -0.258 eV/atom. The density comes out at 11350 kg/m3. The density of states at the Fermi level is 8.3 states/eV/cell.


Record 8
MgCdP2: relaxed, PBE-GGA.

```
MgCdP2
1.0
4.685 0.000 0.000
2.342 4.057 0.000
2.342 1.352 3.825
Cd Mg P
1 1 2
Direct
0.500 0.500 0.500
0.750 0.750 0.750
0.000 0.000 0.000
0.250 0.250 0.250
```

Results
The energy is -11.90 eV/cell. The formation energy is 0.358 eV/atom. The density comes out at 4538 kg/m3. The density of states at the Fermi level is 1.8 states/eV/cell.


Record 9
Tb2Y2Se3: relaxed, PBE-GGA.

```
Tb2Y2Se3
1.0
-2.822 1.082 -2.617
1.755 -5.343 -4.101
-3.256 -3.430 5.147
Tb Y Se
2 2 3
Direct
0.375 0.135 0.751
0.625 0.865 0.249
0.119 0.383 0.239
0.881 0.617 0.761
0.000 0.000 0.000
0.257 0.751 0.513
0.743 0.249 0.487
```

Results
The energy is -43.14 eV/cell. The density comes out at 6637 kg/m3. The density of states at the Fermi level is 3.6 states/eV/cell. Its formation energy without anion corrections is -1.50 eV/atom.


Record 10
Cs2ScTe2S6: relaxed, PBE-GGA.

```
Cs2ScTe2S6
1.0
-7.155 1.880 0.911
2.466 -2.677 -5.600
-1.143 -7.029 5.529
Cs Sc Te S
2 1 2 6
Direct
0.698 0.396 0.112
0.302 0.604 0.888
0.500 0.000 0.500
0.907 0.814 0.730
0.093 0.186 0.270
0.738 0.475 0.502
0.252 0.937 0.264
0.315 0.063 0.736
0.748 0.063 0.736
0.685 0.937 0.264
0.262 0.525 0.498
```

Results
The energy is -46.69 eV/cell. The density comes out at 3544 kg/m3. The density of states at the Fermi level is 2.5 states/eV/cell. Its formation energy without anion corrections is -0.69 eV/atom.


Record 11
DyTh2Ni: relaxed, PBE-GGA.

```
DyTh2Ni
1.0
-1.436 -0.019 3.368
2.546 -5.519 -0.933
8.595 3.343 3.683
Dy Th Ni
2 4 2
Direct
0.911 0.821 0.250
0.089 0.179 0.750
0.364 0.727 0.559
0.636 0.273 0.441
0.364 0.727 0.941
0.636 0.273 0.059
0.784 0.568 0.750
0.216 0.432 0.250
```

Results
The energy is -52.20 eV/cell. The formation energy is -0.220 eV/atom. The density comes out at 10659 kg/m3. The density of states at the Fermi level is 9.2 states/eV/cell.


Record 12
CdTcCl2: relaxed, PBE-GGA.

```
CdTcCl2
1.0
3.103 0.000 0.000
0.000 3.103 0.000
0.000 0.000 8.267
Cl Tc Cd
2 1 1
Direct
0.000 0.000 0.948
0.500 0.500 0.336
0.000 0.000 0.477
0.500 0.500 0.739
```

Results
The energy is -14.91 eV/cell. The density comes out at 5869 kg/m3. The density of states at the Fermi level is 0.7 states/eV/cell. Its formation energy without anion corrections is 0.02 eV/atom.


Record 13
TbSmY2Mg: relaxed, PBE-GGA.

```
TbSmY2Mg
1.0
5.614 0.000 0.000
0.000 6.102 0.966
0.000 1.662 9.290
Tb Sm Y Mg
2 2 4 2
Direct
0.250 0.836 0.005
0.750 0.164 0.995
0.750 0.355 0.608
0.250 0.645 0.392
0.750 0.748 0.802
0.250 0.252 0.198
0.250 0.021 0.606
0.750 0.979 0.394
0.750 0.574 0.197
0.250 0.426 0.803
```

Results
The energy is -47.59 eV/cell. The formation energy is 0.016 eV/atom. The density comes out at 5491 kg/m3. The density of states at the Fermi level is 16.0 states/eV/cell.


Record 14
Cs2MgAuCl6: relaxed, PBE-GGA.

```
Cs2MgAuCl6
1.0
-2.369 -6.876 2.031
6.899 -1.604 2.617
0.939 -2.421 6.935
Cs Mg Au Cl
2 1 1 6
Direct
0.750 0.250 0.500
0.250 0.750 0.500
0.500 0.500 0.000
0.000 0.000 0.000
0.231 0.231 0.538
0.769 0.769 0.462
0.269 0.269 0.000
0.731 0.731 0.000
0.731 0.269 0.000
0.269 0.731 0.000
```

Results
The energy is -31.48 eV/cell. The density comes out at 3972 kg/m3. The density of states at the Fermi level is 6.5 states/eV/cell. Its formation energy without anion corrections is -1.38 eV/atom.


Record 15
AcTmGe2Pt5: relaxed, PBE-GGA.

```
AcTmGe2Pt5
1.0
-0.236 1.577 4.144
0.334 -4.132 1.591
8.879 0.796 0.203
Ac Tm Ge Pt
1 1 2 5
Direct
0.000 0.000 0.500
0.000 0.000 0.000
0.500 0.500 0.136
0.500 0.500 0.864
0.000 0.500 0.256
0.500 0.000 0.256
0.000 0.500 0.744
0.500 0.000 0.744
0.500 0.500 0.500
```

Results
The energy is -55.35 eV/cell. The formation energy is -0.815 eV/atom. The density comes out at 14323 kg/m3. The density of states at the Fermi level is 2.6 states/eV/cell.


Record 16
Ac3P4Rh2: relaxed, PBE-GGA.

```
Ac3P4Rh2
1.0
4.226 0.000 0.000
-2.113 6.390 -0.634
0.000 -3.554 8.125
Ac P Rh
3 4 2
Direct
0.629 0.258 0.721
0.000 0.000 0.000
0.371 0.742 0.279
0.689 0.378 0.107
0.311 0.622 0.893
0.892 0.784 0.597
0.108 0.216 0.403
0.686 0.372 0.379
0.314 0.628 0.621
```

Results
The energy is -58.53 eV/cell. The formation energy is -1.095 eV/atom. The density comes out at 7996 kg/m3. The density of states at the Fermi level is 5.7 states/eV/cell.


Record 17
P2HPb: relaxed, PBE-GGA.

```
P2HPb
1.0
-1.431 -4.190 -1.406
-1.128 -3.241 3.131
-4.440 -1.245 0.558
Pb P H
1 2 1
Direct
0.500 0.500 0.500
0.250 0.250 0.250
0.750 0.750 0.750
0.000 0.000 0.000
```

Results
The energy is -13.74 eV/cell. The density comes out at 6329 kg/m3. The density of states at the Fermi level is 1.8 states/eV/cell.


Record 18
Te2Mo2WS4: relaxed, PBE-GGA.

```
Te2Mo2WS4
1.0
-1.320 0.944 -2.879
-1.889 -0.174 2.706
6.197 27.189 6.075
Te Mo W S
2 2 1 4
Direct
0.333 0.667 0.068
0.333 0.667 0.932
0.333 0.667 0.745
0.333 0.667 0.255
0.667 0.333 0.000
0.667 0.333 0.692
0.667 0.333 0.201
0.667 0.333 0.799
0.667 0.333 0.308
```

Results
The energy is -62.26 eV/cell. The density comes out at 4670 kg/m3. The density of states at the Fermi level is 1.0 states/eV/cell. Its formation energy without anion corrections is -0.54 eV/atom.


Record 19
CsTlAgAs: relaxed, PBE-GGA.

```
CsTlAgAs
1.0
4.699 0.000 0.000
0.000 4.604 0.000
0.000 -2.302 6.637
Cs Tl Ag As
1 1 1 1
Direct
0.500 0.276 0.551
0.000 0.978 0.956
0.500 0.554 0.108
0.000 0.623 0.245
```

Results
The energy is -11.24 eV/cell. The formation energy is -0.130 eV/atom. The density comes out at 6015 kg/m3. The density of states at the Fermi level is 2.2 states/eV/cell.


Record 20
LaTm2In9: relaxed, PBE-GGA.

```
LaTm2In9
1.0
4.685 0.000 0.000
0.000 4.685 0.000
0.000 0.000 13.954
La Tm In
1 2 9
Direct
0.000 0.000 0.000
0.000 0.000 0.338
0.000 0.000 0.662
0.500 0.500 0.000
0.500 0.500 0.335
0.500 0.500 0.665
0.500 0.000 0.174
0.500 0.000 0.500
0.500 0.000 0.826
0.000 0.500 0.174
0.000 0.500 0.500
0.000 0.500 0.826
```

Results
The energy is -43.36 eV/cell. The formation energy is -0.404 eV/atom. The density comes out at 8186 kg/m3. The density of states at the Fermi level is 6.5 states/eV/cell.


Record 21
MgZnSe2: relaxed, PBE-GGA.

```
MgZnSe2
1.0
-1.854 -1.852 -2.743
4.401 -2.153 -1.521
-1.439 -6.935 5.656
Mg Zn Se
2 2 4
Direct
0.000 0.500 0.344
0.500 0.000 0.656
0.500 0.000 0.094
0.000 0.500 0.906
0.500 0.500 0.102
0.000 0.000 0.898
0.500 0.000 0.368
0.000 0.500 0.632
```

Results
The energy is -24.31 eV/cell. The density comes out at 4663 kg/m3. The density of states at the Fermi level is 0.8 states/eV/cell. Its formation energy without anion corrections is -0.58 eV/atom.


Record 22
BaHo2CuS4: relaxed, PBE-GGA.

```
BaHo2CuS4
1.0
3.990 0.000 0.000
-1.995 6.680 0.000
0.000 0.000 13.586
Ba Ho Cu S
2 4 2 8
Direct
0.114 0.228 0.750
0.886 0.772 0.250
0.372 0.744 0.557
0.628 0.256 0.057
0.628 0.256 0.443
0.372 0.744 0.943
0.844 0.687 0.750
0.156 0.313 0.250
0.265 0.529 0.114
0.735 0.471 0.614
0.735 0.471 0.886
0.265 0.529 0.386
0.000 0.000 0.500
0.000 0.000 0.000
0.433 0.866 0.750
0.567 0.134 0.250
```

Results
The energy is -91.36 eV/cell. The density comes out at 6044 kg/m3. The density of states at the Fermi level is 3.2 states/eV/cell. Its formation energy without anion corrections is -1.75 eV/atom.


Record 23
MnPdIN2: relaxed, PBE-GGA.

```
MnPdIN2
1.0
3.685 0.000 0.000
0.000 3.685 0.000
0.000 0.000 5.820
I Mn Pd N
1 1 1 2
Direct
0.000 0.000 0.500
0.000 0.000 0.000
0.500 0.500 0.500
0.000 0.500 0.000
0.500 0.000 0.000
```

Results
The energy is -28.74 eV/cell. The density comes out at 6647 kg/m3. The density of states at the Fermi level is 4.4 states/eV/cell. Its formation energy without anion corrections is 0.76 eV/atom.


Record 24
Sm2Ga3Cu2: relaxed, PBE-GGA.

```
Sm2Ga3Cu2
1.0
-4.273 0.149 -0.215
-0.428 -3.853 5.830
2.149 7.626 5.198
Sm Ga Cu
4 6 4
Direct
0.161 0.250 0.321
0.839 0.750 0.679
0.944 0.250 0.888
0.056 0.750 0.112
0.224 0.750 0.448
0.776 0.250 0.552
0.562 0.429 0.124
0.438 0.571 0.876
0.438 0.929 0.876
0.562 0.071 0.124
0.689 0.936 0.378
0.311 0.064 0.622
0.311 0.436 0.622
0.689 0.564 0.378
```

Results
The energy is -60.11 eV/cell. The formation energy is -0.477 eV/atom. The density comes out at 7647 kg/m3. The density of states at the Fermi level is 11.8 states/eV/cell.